{"formula": "HgGeBiH2", "functional": "GGA-PBE", "state": "relaxed", "energy_ev_per_atom": -2.561, "cell": [[4.074, 0.000, 0.000], [0.000, 4.074, 0.000], [0.000, 0.000, 5.765]], "species": ["Hg", "Ge", "Bi", "H", "H"], "frac_coords": [[0.000, 0.000, 0.000], [0.000, 0.000, 0.500], [0.500, 0.500, 0.000], [0.000, 0.500, 0.500], [0.500, 0.000, 0.500]]}

---

{"formula": "Sm8Ag2Pt", "functional": "GGA-PBE", "state": "relaxed", "formation_energy_ev_per_atom": -0.282, "polymorph_energy_mev_per_atom": 0, "cell": [[9.016, -2.615, 0.000], [9.016, 2.615, 0.000], [-1.541, 0.000, 6.768]], "species": ["Sm", "Sm", "Sm", "Sm", "Sm", "Sm", "Sm", "Sm", "Ag", "Ag", "Pt"], "frac_coords": [[0.026, 0.026, 0.279], [0.202, 0.202, 0.826], [0.341, 0.341, 0.528], [0.411, 0.411, 0.057], [0.589, 0.589, 0.943], [0.659, 0.659, 0.472], [0.798, 0.798, 0.174], [0.974, 0.974, 0.721], [0.189, 0.189, 0.241], [0.811, 0.811, 0.759], [0.500, 0.500, 0.500]]}